Record 1
A relaxed structure of MgBeS. Source: Alexandria, functional PBE-GGA.

Lattice parameters (Å, degrees): 3.3667 3.3667 5.3444 90.00 90.00 120.00
Space group P3m1 (No. 156)
One atom of each set of equivalent atoms:
Mg: 0.0000 0.0000 0.0000
Be: 0.6667 0.3333 0.3759
S: 0.0000 0.0000 0.5103

Values from the calculation:
offset from the most stable computed form	40	meV/atom
electronic total energy	-11.2	eV per cell
formation energy without anion corrections	-568	meV per atom

---

Record 2
A relaxed structure of MgBeS. Source: Alexandria, functional PBE-GGA.

Lattice parameters (Å, degrees): 7.505 8.050 3.384 90.00 90.00 90.00
Space group Cmmm (No. 65)
One atom of each set of equivalent atoms:
Mg: 0.250 0.000 0.000
Be: 0.000 0.130 0.500
S: 0.000 0.277 0.000

Values from the calculation:
offset from the most stable computed form	0	meV/atom
electronic total energy	-45.1	eV per cell
formation energy without anion corrections	-609	meV per atom

---

Record 3
A relaxed structure of Mg3BeS. Source: Alexandria, functional PBE-GGA.

Lattice parameters (Å, degrees): 4.780 4.780 4.780 90.00 90.00 90.00
Space group Pm-3m (No. 221)
One atom of each set of equivalent atoms:
Mg: 0.000 0.000 0.500
Be: 0.500 0.500 0.500
S: 0.000 0.000 0.000

Values from the calculation:
electronic total energy	-11.6	eV per cell
formation energy without anion corrections	204	meV per atom